Below is a relaxed structure of MgMn2Br, with properties calculated at the PBE-GGA level.

Lattice parameters (Å, degrees): 4.9596 4.9596 3.1968 90.00 90.00 90.00
Space group P4/mmm (No. 123)
Symmetry-distinct sites (fractional):
Mg 0.0000 0.0000 0.0000 [1 per cell]
Mn 0.0000 0.5000 0.5000 [2 per cell]
Br 0.5000 0.5000 0.0000 [1 per cell]

## Properties
energy relative to the elements, uncorrected: 2.15 eV per formula unit
offset from the most stable computed form: 314 meV per atom